Entry from Alexandria via LeMat-Bulk: Mg2PbCl after structural relaxation (PBEsol).

Unit cell a=4.6792 b=4.6792 c=8.2257 alpha=119.40 beta=119.40 gamma=43.27
Last column: nearest neighbours and their distance in Å.
Sites, in units of the cell vectors:
Mg1 0.1110 0.1110 0.2846  2 Cl 2.65, 1 Pb 2.87
Mg2 0.8890 0.8890 0.7154  2 Cl 2.65, 1 Pb 2.87
Pb1 0.5000 0.5000 0.5000  6 Mg 2.87-2.98
Cl1 0.5000 0.5000 0.0000  4 Mg 2.65

Calculated values
Crystal system: monoclinic
Fermi-level density of states, states/eV/atom: 0.26
E_form (uncorrected), eV per atom: -0.559
Total moment, Bohr magnetons per cell: 0.0
Space-group type: C2/m, No. 12

=====

Entry from Alexandria via LeMat-Bulk: CaTl2GaSb after structural relaxation (PBEsol).

Unit cell a=5.2077 b=5.2077 c=5.5868 alpha=90.00 beta=90.00 gamma=90.00
Last column: nearest neighbours and their distance in Å.
Sites, in units of the cell vectors:
Ca1 0.0000 0.0000 0.0000  2 Ga 2.79
Tl1 0.0000 0.5000 0.5000  2 Ga 2.60
Tl2 0.5000 0.0000 0.5000  2 Ga 2.60
Ga1 0.0000 0.0000 0.5000  4 Tl 2.60, 2 Ca 2.79
Sb1 0.5000 0.5000 0.0000  4 Ca 3.68, 8 Tl 3.82

Calculated values
Crystal system: tetragonal
Fermi-level density of states, states/eV/atom: 0.75
E_form (uncorrected), eV per atom: 0.082
Total moment, Bohr magnetons per cell: 0.0
Space-group type: P4/mmm, No. 123

=====

Entry from Alexandria via LeMat-Bulk: CdHgTe2 after structural relaxation (PBEsol).

Unit cell a=3.9061 b=3.9061 c=6.8415 alpha=90.00 beta=90.00 gamma=90.00
Last column: nearest neighbours and their distance in Å.
Sites, in units of the cell vectors:
Cd1 0.0000 0.0000 0.0000  8 Te 3.16, 2 Hg 3.42
Hg1 0.0000 0.0000 0.5000  8 Te 3.34, 2 Cd 3.42
Te1 0.5000 0.5000 0.2248  1 Te 3.08, 4 Cd 3.16, 4 Hg 3.34
Te2 0.5000 0.5000 0.7752  1 Te 3.08, 4 Cd 3.16, 4 Hg 3.34

Calculated values
Crystal system: tetragonal
Fermi-level density of states, states/eV/atom: 0.51
E_form (uncorrected), eV per atom: 0.099
Total moment, Bohr magnetons per cell: 0.0
Space-group type: P4/mmm, No. 123

=====

Entry from Alexandria via LeMat-Bulk: Li2TcPt after structural relaxation (PBEsol).

Unit cell a=5.3274 b=5.3274 c=5.3274 alpha=102.41 beta=102.41 gamma=124.76
Last column: nearest neighbours and their distance in Å.
Sites, in units of the cell vectors:
Li1 0.1149 0.6250 0.9899  2 Pt 2.39, 2 Li 2.47, 2 Tc 2.49
Li2 0.3750 0.3649 0.4899  2 Pt 2.39, 2 Li 2.47, 2 Tc 2.49
Li3 0.6351 0.1250 0.0101  2 Pt 2.39, 2 Li 2.47, 2 Tc 2.49
Li4 0.8750 0.8851 0.5101  2 Pt 2.39, 2 Li 2.47, 2 Tc 2.49
Tc1 0.2500 0.7500 0.5000  2 Pt 2.47, 4 Li 2.49
Tc2 0.5000 0.5000 0.0000  2 Pt 2.47, 4 Li 2.49
Pt1 0.0000 0.0000 0.0000  4 Li 2.39, 2 Tc 2.47
Pt2 0.7500 0.2500 0.5000  4 Li 2.39, 2 Tc 2.47

Calculated values
Crystal system: tetragonal
Fermi-level density of states, states/eV/atom: 0.85
Energy of formation, eV per atom: 0.55
Total moment, Bohr magnetons per cell: 0.0
Space-group type: I-42d, No. 122

=====

Entry from Alexandria via LeMat-Bulk: AsOsPt after structural relaxation (PBEsol).

Unit cell a=5.3465 b=5.3465 c=5.3465 alpha=147.29 beta=147.29 gamma=46.94
Last column: nearest neighbours and their distance in Å.
Sites, in units of the cell vectors:
As1 0.0000 0.0000 0.0000  4 Os 2.52, 4 Pt 2.70
Os1 0.3627 0.3627 0.0000  4 As 2.52
Pt1 0.6696 0.6696 0.0000  4 As 2.70, 5 Os 2.85-3.01, 4 Pt 3.01

Calculated values
Crystal system: tetragonal
Fermi-level density of states, states/eV/atom: 1.16
Energy of formation, eV per atom: 0.35
Total moment, Bohr magnetons per cell: 0.0
Space-group type: I4mm, No. 107

=====

Entry from Alexandria via LeMat-Bulk: CsAlIr3 after structural relaxation (PBEsol).

Unit cell a=4.9116 b=4.9116 c=4.9116 alpha=90.00 beta=90.00 gamma=90.00
Last column: nearest neighbours and their distance in Å.
Sites, in units of the cell vectors:
Cs1 0.0000 0.0000 0.0000  6 Ir 2.46
Al1 0.5000 0.5000 0.5000  12 Ir 3.47
Ir1 0.0000 0.0000 0.5000  2 Cs 2.46
Ir2 0.0000 0.5000 0.0000  2 Cs 2.46
Ir3 0.5000 0.0000 0.0000  2 Cs 2.46

Calculated values
Crystal system: cubic
Fermi-level density of states, states/eV/atom: 1.72
Energy of formation, eV per atom: 3.13
Total moment, Bohr magnetons per cell: 0.0
Space-group type: Pm-3m, No. 221